Entry from Alexandria via LeMat-Bulk: a relaxed CaFeCu2 crystal (GGA-PBE).

Structure (POSCAR):
```
CaFeCu2
1.0
3.1601 0.0000 0.0000
0.0000 3.1601 0.0000
0.0000 0.0000 6.6286
Ca Fe Cu
1 1 2
Direct
0.0000 0.0000 0.0000
0.0000 0.0000 0.5000
0.5000 0.5000 0.3105
0.5000 0.5000 0.6895
```

Calculated values
space group: P4/mmm, No. 123
formation energy: 224 meV per atom
magnetic moment: 3.00 μB per cell
electronic total energy: -17.76 eV for the cell shown
volume: 16.55 Å³/atom